TlRe2NiBr after structural relaxation. Source: Alexandria via LeMat-Bulk, functional PBE.

a b c (Å): 4.5505 5.6952 4.5505
angles (deg): 90.00 90.00 90.00
Closest atoms and distances in Å follow each position.
Fractional coordinates of all 5 atoms:
1 Br 0.0000 0.0000 0.0000  4 Re 2.28
2 Re 0.0000 0.0000 0.5000  2 Br 2.28
3 Ni 0.5000 0.5000 0.5000  4 Tl 3.22
4 Re 0.5000 0.0000 0.0000  2 Br 2.28
5 Tl 0.0000 0.5000 0.0000  2 Br 2.85

Computed properties:
- E: -4.53 eV/atom
- Total moment: 0.43 μB/atom
- Fermi-level density of states: 5.8 states/eV/cell
- Space group: P4/mmm (123)
- Uncorrected formation energy: 2414.4 meV per atom
- Crystal system: tetragonal

=====

Ni4RhBr after structural relaxation. Source: Alexandria via LeMat-Bulk, functional PBE.

a b c (Å): 4.8398 4.8398 4.8398
angles (deg): 60.00 60.00 60.00
Closest atoms and distances in Å follow each position.
Fractional coordinates of all 6 atoms:
1 Ni 0.1275 0.6242 0.6242  6 Ni 2.40-2.44
2 Rh 0.2500 0.2500 0.2500  12 Ni 2.84, 4 Br 2.96
3 Br 0.0000 0.0000 0.0000  12 Ni 2.84, 4 Rh 2.96
4 Ni 0.6242 0.6242 0.6242  6 Ni 2.40-2.44
5 Ni 0.6242 0.6242 0.1275  6 Ni 2.40-2.44
6 Ni 0.6242 0.1275 0.6242  6 Ni 2.40-2.44

Computed properties:
- E: -4.83 eV/atom
- Total moment: 0.62 μB/atom
- Fermi-level density of states: 9.7 states/eV/cell
- Space group: F-43m (216)
- Uncorrected formation energy: 527.2 meV per atom
- Crystal system: cubic

=====

Ni2RhBr after structural relaxation. Source: Alexandria via LeMat-Bulk, functional PBE.

a b c (Å): 4.2052 4.2052 6.1825
angles (deg): 79.17 79.17 41.96
Closest atoms and distances in Å follow each position.
Fractional coordinates of all 4 atoms:
1 Ni 0.7854 0.7854 0.7563  3 Ni 2.43-2.44, 3 Rh 2.46-2.49
2 Ni 0.0471 0.0471 0.9085  1 Br 2.35, 3 Ni 2.43-2.44, 2 Rh 2.52
3 Rh 0.5277 0.5277 0.5875  5 Ni 2.46-2.52, 2 Br 2.59
4 Br 0.1397 0.1397 0.2477  1 Ni 2.35, 2 Rh 2.59

Computed properties:
- E: -4.73 eV/atom
- Total moment: 0.55 μB/atom
- Fermi-level density of states: 5.3 states/eV/cell
- Distance to the lowest polymorph of the same formula: 0.067 eV per atom
- Space group: Cm (8)
- Uncorrected formation energy: 413.3 meV per atom
- Crystal system: monoclinic

=====

Ni2RhBr after structural relaxation. Source: Alexandria via LeMat-Bulk, functional PBE.

a b c (Å): 4.5008 4.5008 2.9886
angles (deg): 90.01 90.01 109.36
Closest atoms and distances in Å follow each position.
Fractional coordinates of all 4 atoms:
1 Rh 0.5000 0.0000 0.5000  2 Br 2.60, 8 Ni 2.70
2 Br 0.0000 0.5000 0.5000  2 Rh 2.60, 8 Ni 2.70
3 Ni 0.0000 0.0000 0.0000  2 Ni 2.60, 4 Rh 2.70, 4 Br 2.70
4 Ni 0.5000 0.5000 0.0000  2 Ni 2.60, 4 Br 2.70, 4 Rh 2.70

Computed properties:
- E: -4.57 eV/atom
- Total moment: 0.55 μB/atom
- Fermi-level density of states: 5.0 states/eV/cell
- Distance to the lowest polymorph of the same formula: 0.233 eV per atom
- Space group: Cmmm (65)
- Uncorrected formation energy: 578.5 meV per atom
- Crystal system: orthorhombic

=====

Ni2RhBr after structural relaxation. Source: Alexandria via LeMat-Bulk, functional PBE.

a b c (Å): 5.0702 5.0702 5.0702
angles (deg): 146.00 129.22 62.53
Closest atoms and distances in Å follow each position.
Fractional coordinates of all 4 atoms:
1 Rh 0.4909 0.4909 0.0000  8 Ni 2.64-2.93, 2 Br 2.65
2 Ni 0.7642 0.2642 0.5000  2 Ni 2.57, 4 Br 2.64, 2 Rh 2.79
3 Br 0.2381 0.7381 0.5000  6 Ni 2.49-2.64, 2 Rh 2.65
4 Ni 0.0068 0.0068 0.0000  2 Br 2.49, 2 Ni 2.57, 4 Rh 2.64

Computed properties:
- E: -4.56 eV/atom
- Total moment: 0.00 μB/atom
- Fermi-level density of states: 6.1 states/eV/cell
- Distance to the lowest polymorph of the same formula: 0.246 eV per atom
- Space group: Imm2 (44)
- Uncorrected formation energy: 591.7 meV per atom
- Crystal system: orthorhombic

=====

NiRhBr2 after structural relaxation. Source: Alexandria via LeMat-Bulk, functional PBE.

a b c (Å): 7.8749 6.0324 3.3088
angles (deg): 56.68 114.92 140.20
Closest atoms and distances in Å follow each position.
Fractional coordinates of all 4 atoms:
1 Rh 0.5000 0.5000 0.0000  4 Br 2.52
2 Br 0.0000 0.0000 0.0000  2 Ni 2.52, 2 Rh 2.52
3 Br 0.5000 0.0000 0.5000  2 Rh 2.52, 2 Ni 2.52
4 Ni 0.0000 0.5000 0.5000  4 Br 2.52

Computed properties:
- E: -3.65 eV/atom
- Total moment: 0.22 μB/atom
- Fermi-level density of states: 6.1 states/eV/cell
- Distance to the lowest polymorph of the same formula: 0.501 eV per atom
- Space group: Cmmm (65)
- Uncorrected formation energy: 471.1 meV per atom
- Crystal system: orthorhombic

=====

NiRhBr2 after structural relaxation. Source: Alexandria via LeMat-Bulk, functional PBE.

a b c (Å): 3.6138 3.6138 7.6161
angles (deg): 90.00 90.00 124.60
Closest atoms and distances in Å follow each position.
Fractional coordinates of all 4 atoms:
1 Br 0.0000 0.0000 0.4814  2 Ni 2.43, 2 Rh 2.65
2 Br 0.0000 0.0000 0.0186  2 Ni 2.43, 2 Rh 2.65
3 Rh 0.5000 0.5000 0.7500  4 Br 2.65
4 Ni 0.5000 0.5000 0.2500  4 Br 2.43

Computed properties:
- E: -3.65 eV/atom
- Total moment: 0.11 μB/atom
- Fermi-level density of states: 6.1 states/eV/cell
- Distance to the lowest polymorph of the same formula: 0.501 eV per atom
- Space group: Cmmm (65)
- Uncorrected formation energy: 471.2 meV per atom
- Crystal system: orthorhombic

=====

NiRh2Br2 after structural relaxation. Source: Alexandria via LeMat-Bulk, functional PBE.

a b c (Å): 5.0629 5.0629 5.1554
angles (deg): 60.59 60.59 90.00
Closest atoms and distances in Å follow each position.
Fractional coordinates of all 5 atoms:
1 Rh 0.2500 0.7500 0.5000  4 Br 2.56
2 Br 0.7006 0.7006 0.5989  1 Ni 2.22
3 Ni 0.0000 0.0000 0.0000  2 Br 2.22
4 Br 0.2994 0.2994 0.4011  1 Ni 2.22
5 Rh 0.7500 0.2500 0.5000  4 Br 2.56

Computed properties:
- E: -4.10 eV/atom
- Total moment: 0.00 μB/atom
- Fermi-level density of states: 7.3 states/eV/cell
- Distance to the lowest polymorph of the same formula: 0.000 eV per atom
- Space group: I4/mmm (139)
- Uncorrected formation energy: 662.4 meV per atom
- Crystal system: tetragonal

=====

Ni2RhBr after structural relaxation. Source: Alexandria via LeMat-Bulk, functional PBE.

a b c (Å): 4.3040 4.3040 4.3040
angles (deg): 60.00 60.00 60.00
Closest atoms and distances in Å follow each position.
Fractional coordinates of all 4 atoms:
1 Ni 0.2500 0.2500 0.2500  4 Br 2.64, 4 Ni 2.64
2 Rh 0.7500 0.7500 0.7500  4 Br 2.64, 4 Ni 2.64
3 Ni 0.0000 0.0000 0.0000  4 Ni 2.64, 4 Rh 2.64
4 Br 0.5000 0.5000 0.5000  4 Rh 2.64, 4 Ni 2.64

Computed properties:
- E: -4.47 eV/atom
- Total moment: 0.30 μB/atom
- Fermi-level density of states: 5.9 states/eV/cell
- Distance to the lowest polymorph of the same formula: 0.327 eV per atom
- Space group: F-43m (216)
- Uncorrected formation energy: 672.9 meV per atom
- Crystal system: cubic

=====

NiRhBr2 after structural relaxation. Source: Alexandria via LeMat-Bulk, functional PBE.

a b c (Å): 4.6097 4.6097 3.2501
angles (deg): 90.00 90.00 90.00
Closest atoms and distances in Å follow each position.
Fractional coordinates of all 4 atoms:
1 Ni 0.5000 0.0000 0.5000  8 Br 2.82
2 Br 0.0000 0.0000 0.0000  4 Ni 2.82, 4 Rh 2.82
3 Br 0.5000 0.5000 0.0000  4 Ni 2.82, 4 Rh 2.82
4 Rh 0.0000 0.5000 0.5000  8 Br 2.82

Computed properties:
- E: -3.52 eV/atom
- Total moment: 0.23 μB/atom
- Fermi-level density of states: 5.2 states/eV/cell
- Distance to the lowest polymorph of the same formula: 0.633 eV per atom
- Space group: P4/mmm (123)
- Uncorrected formation energy: 603.7 meV per atom
- Crystal system: tetragonal

=====

Ni2RhBr after structural relaxation. Source: Alexandria via LeMat-Bulk, functional PBE.

a b c (Å): 2.9235 4.4369 4.3872
angles (deg): 90.00 90.00 90.00
Closest atoms and distances in Å follow each position.
Fractional coordinates of all 4 atoms:
1 Rh 0.5000 0.0000 0.5000  4 Ni 2.64, 4 Br 2.66, 2 Rh 2.92
2 Ni 0.5000 0.5000 0.0000  4 Br 2.64, 6 Ni 2.66-2.92
3 Ni 0.0000 0.0000 0.0000  4 Rh 2.64, 6 Ni 2.66-2.92
4 Br 0.0000 0.5000 0.5000  4 Ni 2.64, 4 Rh 2.66, 2 Br 2.92

Computed properties:
- E: -4.53 eV/atom
- Total moment: 0.38 μB/atom
- Fermi-level density of states: 6.4 states/eV/cell
- Distance to the lowest polymorph of the same formula: 0.271 eV per atom
- Space group: Pmmm (47)
- Uncorrected formation energy: 616.8 meV per atom
- Crystal system: orthorhombic

=====

Ni2RhBr after structural relaxation. Source: Alexandria via LeMat-Bulk, functional PBE.

a b c (Å): 3.0943 3.0943 6.2058
angles (deg): 90.00 90.00 90.00
Closest atoms and distances in Å follow each position.
Fractional coordinates of all 4 atoms:
1 Br 0.5000 0.5000 0.7767  5 Ni 2.72-2.86, 4 Rh 2.99
2 Rh 0.0000 0.0000 0.4487  5 Ni 2.55
3 Ni 0.5000 0.5000 0.2375  4 Ni 2.52, 4 Rh 2.55
4 Ni 0.0000 0.0000 0.0371  4 Ni 2.52, 1 Rh 2.55, 4 Br 2.72

Computed properties:
- E: -4.72 eV/atom
- Total moment: 0.65 μB/atom
- Fermi-level density of states: 4.6 states/eV/cell
- Distance to the lowest polymorph of the same formula: 0.084 eV per atom
- Space group: P4mm (99)
- Uncorrected formation energy: 429.4 meV per atom
- Crystal system: tetragonal

=====

> The lowest E belongs to which entry?

Ni4RhBr